Arrangement P

CeErRh: optimized geometry, GGA-PBE. Values from VASP.

The value obtained for the density of states at the Fermi level is 6.38 states/eV per cell. As for the density: 9.4 g cm⁻³.

Cell and atoms, written as Quantum ESPRESSO input:
```
&SYSTEM
  ibrav = 0, nat = 3, ntyp = 3
/
ATOMIC_SPECIES
Ce 140.12 Ce.upf
Er 167.26 Er.upf
Rh 102.91 Rh.upf
CELL_PARAMETERS angstrom
4.555 0.000 0.000
-2.278 3.945 0.000
0.000 0.000 4.033
ATOMIC_POSITIONS angstrom
Ce 0.000 0.000 0.000
Er 2.278 1.315 2.215
Rh 0.000 2.630 1.183
```

---

Arrangement Q

CeErRh: optimized geometry, GGA-PBE. Values from VASP.

The value obtained for the density of states at the Fermi level is 12.05 states/eV per cell. As for the density: 8.5 g cm⁻³.

Cell and atoms, written as Quantum ESPRESSO input:
```
&SYSTEM
  ibrav = 0, nat = 6, ntyp = 3
/
ATOMIC_SPECIES
Ce 140.12 Ce.upf
Er 167.26 Er.upf
Rh 102.91 Rh.upf
CELL_PARAMETERS angstrom
5.708 0.000 0.000
0.000 4.081 0.000
-2.298 0.000 6.899
ATOMIC_POSITIONS angstrom
Ce 0.000 0.000 0.000
Ce 1.755 2.041 2.568
Er 0.617 2.041 5.971
Er 4.501 0.000 3.437
Rh 2.843 0.000 1.040
Rh 3.540 2.041 5.041
```

---

Most stable: arrangement Q (next structure +159 meV per atom)

---

Arrangement P

CeErRh: optimized geometry, GGA-PBE. Values from VASP.

The value obtained for the density of states at the Fermi level is 32.85 states/eV per cell. As for the density: 8.6 g cm⁻³.

Cell and atoms, written as Quantum ESPRESSO input:
```
&SYSTEM
  ibrav = 0, nat = 12, ntyp = 3
/
ATOMIC_SPECIES
Ce 140.12 Ce.upf
Er 167.26 Er.upf
Rh 102.91 Rh.upf
CELL_PARAMETERS angstrom
6.826 0.000 0.000
0.000 6.826 0.000
0.000 0.000 6.826
ATOMIC_POSITIONS angstrom
Ce 0.000 0.000 0.000
Ce 0.000 3.413 3.413
Ce 3.413 0.000 3.413
Ce 3.413 3.413 0.000
Er 0.000 0.000 3.413
Er 0.000 3.413 0.000
Er 3.413 0.000 0.000
Er 3.413 3.413 3.413
Rh 1.706 1.706 1.706
Rh 1.706 5.119 5.119
Rh 5.119 1.706 5.119
Rh 5.119 5.119 1.706
```

---

Arrangement Q

CeErRh: optimized geometry, GGA-PBE. Values from VASP.

The value obtained for the density of states at the Fermi level is 8.52 states/eV per cell. As for the density: 9.3 g cm⁻³.

Cell and atoms, written as Quantum ESPRESSO input:
```
&SYSTEM
  ibrav = 0, nat = 6, ntyp = 3
/
ATOMIC_SPECIES
Ce 140.12 Ce.upf
Er 167.26 Er.upf
Rh 102.91 Rh.upf
CELL_PARAMETERS angstrom
3.476 0.000 0.000
0.000 3.476 0.000
0.000 0.000 12.146
ATOMIC_POSITIONS angstrom
Ce 0.000 0.000 0.000
Ce 1.738 1.738 6.073
Er 0.000 0.000 3.312
Er 1.738 1.738 9.385
Rh 0.000 0.000 7.754
Rh 1.738 1.738 1.681
```

---

Most stable: arrangement Q (next structure +50 meV per atom)

---

Arrangement P

CeErTlRh: optimized geometry, GGA-PBE. Values from VASP.

The value obtained for the density of states at the Fermi level is 5.66 states/eV per cell. As for the density: 10.6 g cm⁻³.

Cell and atoms, written as Quantum ESPRESSO input:
```
&SYSTEM
  ibrav = 0, nat = 4, ntyp = 4
/
ATOMIC_SPECIES
Ce 140.12 Ce.upf
Er 167.26 Er.upf
Tl 204.38 Tl.upf
Rh 102.91 Rh.upf
CELL_PARAMETERS angstrom
3.428 0.000 0.000
0.000 3.428 0.000
0.000 0.000 8.203
ATOMIC_POSITIONS angstrom
Ce 0.000 0.000 0.000
Er 0.000 0.000 4.776
Tl 1.714 1.714 2.442
Rh 1.714 1.714 6.403
```

---

Arrangement Q

CeErTlRh: optimized geometry, GGA-PBE. Values from VASP.

The value obtained for the density of states at the Fermi level is 29.13 states/eV per cell. As for the density: 10.5 g cm⁻³.

Cell and atoms, written as Quantum ESPRESSO input:
```
&SYSTEM
  ibrav = 0, nat = 16, ntyp = 4
/
ATOMIC_SPECIES
Ce 140.12 Ce.upf
Er 167.26 Er.upf
Tl 204.38 Tl.upf
Rh 102.91 Rh.upf
CELL_PARAMETERS angstrom
7.293 0.000 0.000
0.000 7.293 0.000
0.000 0.000 7.293
ATOMIC_POSITIONS angstrom
Ce 0.000 0.000 0.000
Ce 0.000 3.647 3.647
Ce 3.647 0.000 3.647
Ce 3.647 3.647 0.000
Er 0.000 0.000 3.647
Er 0.000 3.647 0.000
Er 3.647 0.000 0.000
Er 3.647 3.647 3.647
Tl 1.823 1.823 5.470
Tl 1.823 5.470 1.823
Tl 5.470 1.823 1.823
Tl 5.470 5.470 5.470
Rh 1.823 1.823 1.823
Rh 1.823 5.470 5.470
Rh 5.470 1.823 5.470
Rh 5.470 5.470 1.823
```

---

Most stable: arrangement P (next structure +174 meV per atom)

---

Arrangement P

CeErRu: optimized geometry, GGA-PBE. Values from VASP.

The value obtained for the density of states at the Fermi level is 25.51 states/eV per cell. As for the density: 8.8 g cm⁻³.

Cell and atoms, written as Quantum ESPRESSO input:
```
&SYSTEM
  ibrav = 0, nat = 12, ntyp = 3
/
ATOMIC_SPECIES
Ce 140.12 Ce.upf
Er 167.26 Er.upf
Ru 101.07 Ru.upf
CELL_PARAMETERS angstrom
6.765 0.000 0.000
0.000 6.765 0.000
0.000 0.000 6.765
ATOMIC_POSITIONS angstrom
Ce 0.000 0.000 0.000
Ce 0.000 3.382 3.382
Ce 3.382 0.000 3.382
Ce 3.382 3.382 0.000
Er 0.000 0.000 3.382
Er 0.000 3.382 0.000
Er 3.382 0.000 0.000
Er 3.382 3.382 3.382
Ru 1.691 1.691 5.074
Ru 1.691 5.074 1.691
Ru 5.074 1.691 1.691
Ru 5.074 5.074 5.074
```

---

Arrangement Q

CeErRu: optimized geometry, GGA-PBE. Values from VASP.

The value obtained for the density of states at the Fermi level is 10.28 states/eV per cell. As for the density: 9.2 g cm⁻³.

Cell and atoms, written as Quantum ESPRESSO input:
```
&SYSTEM
  ibrav = 0, nat = 6, ntyp = 3
/
ATOMIC_SPECIES
Ce 140.12 Ce.upf
Er 167.26 Er.upf
Ru 101.07 Ru.upf
CELL_PARAMETERS angstrom
3.363 0.000 0.000
0.000 3.363 0.000
0.000 0.000 13.078
ATOMIC_POSITIONS angstrom
Ce 0.000 0.000 0.000
Ce 1.681 1.681 6.539
Er 0.000 0.000 3.396
Er 1.681 1.681 9.935
Ru 0.000 0.000 8.243
Ru 1.681 1.681 1.704
```

---

Most stable: arrangement Q (next structure +69 meV per atom)

---

Arrangement P

Ce2ErRu2: optimized geometry, GGA-PBE. Values from VASP.

The value obtained for the density of states at the Fermi level is 25.52 states/eV per cell. As for the density: 8.6 g cm⁻³.

Cell and atoms, written as Quantum ESPRESSO input:
```
&SYSTEM
  ibrav = 0, nat = 20, ntyp = 3
/
ATOMIC_SPECIES
Ce 140.12 Ce.upf
Er 167.26 Er.upf
Ru 101.07 Ru.upf
CELL_PARAMETERS angstrom
9.122 0.000 0.000
0.000 8.076 0.000
-2.167 0.000 6.806
ATOMIC_POSITIONS angstrom
Ce 0.132 1.748 0.033
Ce -0.951 2.289 3.436
Ce 1.218 4.650 5.773
Ce 2.302 7.463 2.371
Ce 4.653 0.612 4.435
Ce 5.736 3.425 1.032
Ce 7.906 5.786 3.369
Ce 6.822 6.327 6.772
Er 1.140 0.437 5.760
Er 2.224 3.601 2.357
Er 4.731 4.475 4.448
Er 5.814 7.638 1.045
Ru -1.702 4.208 5.399
Ru -0.619 7.906 1.996
Ru 3.666 1.240 1.749
Ru 2.582 2.798 5.152
Ru 4.372 5.278 1.654
Ru 3.289 6.836 5.056
Ru 7.573 0.170 4.809
Ru 8.657 3.868 1.406
```

---

Arrangement Q

Ce2ErRu2: optimized geometry, GGA-PBE. Values from VASP.

The value obtained for the density of states at the Fermi level is 12.39 states/eV per cell. As for the density: 9.2 g cm⁻³.

Cell and atoms, written as Quantum ESPRESSO input:
```
&SYSTEM
  ibrav = 0, nat = 10, ntyp = 3
/
ATOMIC_SPECIES
Ce 140.12 Ce.upf
Er 167.26 Er.upf
Ru 101.07 Ru.upf
CELL_PARAMETERS angstrom
4.707 0.000 0.000
-1.586 6.210 0.000
-0.811 -1.076 7.986
ATOMIC_POSITIONS angstrom
Ce -0.652 2.244 1.497
Ce 0.147 1.120 4.696
Ce 2.162 4.014 3.290
Ce 2.961 2.890 6.489
Er -0.157 5.788 1.374
Er 2.466 -0.654 6.613
Ru 0.124 0.896 7.682
Ru -0.258 4.367 4.051
Ru 2.568 0.767 3.935
Ru 2.185 4.238 0.304
```

---

Most stable: arrangement Q (next structure +51 meV per atom)

---

Arrangement P

CeErS: optimized geometry, GGA-PBE. Values from VASP.

The value obtained for the density of states at the Fermi level is 6.38 states/eV per cell. As for the density: 7.0 g cm⁻³.

Cell and atoms, written as Quantum ESPRESSO input:
```
&SYSTEM
  ibrav = 0, nat = 3, ntyp = 3
/
ATOMIC_SPECIES
Ce 140.12 Ce.upf
Er 167.26 Er.upf
S 32.06 S.upf
CELL_PARAMETERS angstrom
3.773 0.000 0.000
-1.886 3.267 0.000
0.000 0.000 6.496
ATOMIC_POSITIONS angstrom
Ce 0.000 0.000 0.000
Er 0.000 2.178 3.112
S 1.886 1.089 4.707
```

---

Arrangement Q

CeErS: optimized geometry, GGA-PBE. Values from VASP.

The value obtained for the density of states at the Fermi level is 8.31 states/eV per cell. As for the density: 8.8 g cm⁻³.

Cell and atoms, written as Quantum ESPRESSO input:
```
&SYSTEM
  ibrav = 0, nat = 6, ntyp = 3
/
ATOMIC_SPECIES
Ce 140.12 Ce.upf
Er 167.26 Er.upf
S 32.06 S.upf
CELL_PARAMETERS angstrom
3.918 0.000 0.000
0.000 3.918 0.000
0.000 0.000 8.357
ATOMIC_POSITIONS angstrom
Ce 0.980 2.939 0.000
Ce 2.939 0.980 0.000
Er 0.980 0.980 3.054
Er 2.939 2.939 5.303
S 0.980 0.980 5.848
S 2.939 2.939 2.509
```

---

Most stable: arrangement P (next structure +81 meV per atom)